1.
Compound: Na2BiIO2
Source: the Alexandria database
Functional: PBE
Structure: relaxed

Values from the calculation:
M_tot = 0.0 μB per cell
ΔE_f (raw) = -1142 meV per atom
theoretical density = 4.90 g cm⁻³

POSCAR file:
```
Na2BiIO2
1.0
4.527 0.000 0.000
0.000 4.527 0.000
0.000 0.000 6.840
Na Bi I O
2 1 1 2
Direct
0.500 0.500 0.798
0.500 0.500 0.202
0.000 0.000 0.000
0.000 0.000 0.500
0.500 0.000 0.000
0.000 0.500 0.000
```

=====

2.
Compound: Tb2PmPr4
Source: the Alexandria database
Functional: PBE
Structure: relaxed

Values from the calculation:
M_tot = 0.0 μB per cell
theoretical density = 6.97 g cm⁻³
formation energy = 0.06 eV/atom
polymorph energy (0 for the lowest one) = 0.0 kJ/mol of formula units

POSCAR file:
```
Tb2PmPr4
1.0
12.222 -3.133 -1.571
-9.571 8.221 -1.571
0.024 0.046 6.912
Tb Pm Pr
4 2 8
Direct
0.626 0.308 0.451
0.924 0.106 0.049
0.106 0.924 0.549
0.308 0.626 0.951
0.421 0.671 0.500
0.671 0.421 0.000
0.718 0.181 0.874
0.181 0.718 0.374
0.186 0.794 0.904
0.794 0.186 0.404
0.033 0.141 0.597
0.558 0.595 0.127
0.595 0.558 0.627
0.141 0.033 0.097
```

=====

3.
Compound: CdCuHPt2
Source: the Alexandria database
Functional: PBE
Structure: relaxed

Values from the calculation:
M_tot = 0.0 μB per cell
theoretical density = 14.05 g cm⁻³
polymorph energy (0 for the lowest one) = 55.7 kJ/mol of formula units

POSCAR file:
```
CdCuHPt2
1.0
-1.420 -3.550 1.088
3.511 -1.663 -0.843
1.288 0.704 3.978
H Cu Pt Cd
1 1 2 1
Direct
0.000 0.000 0.000
0.500 0.500 0.500
0.000 0.500 0.000
0.500 0.000 0.000
0.000 0.000 0.500
```

=====

4.
Compound: LaCeHgI
Source: the Alexandria database
Functional: PBE
Structure: relaxed

Values from the calculation:
M_tot = 1.3 μB per cell
ΔE_f (raw) = -494 meV per atom
theoretical density = 8.45 g cm⁻³

POSCAR file:
```
LaCeHgI
1.0
5.524 0.000 0.000
2.762 4.784 0.000
2.762 1.595 4.511
I Hg Ce La
1 1 1 1
Direct
0.000 0.000 0.000
0.500 0.500 0.500
0.250 0.250 0.250
0.750 0.750 0.750
```

=====

5.
Compound: Sm2RhO
Source: the Alexandria database
Functional: PBE
Structure: relaxed

Values from the calculation:
M_tot = 0.0 μB per cell
ΔE_f (raw) = -1555 meV per atom
theoretical density = 8.80 g cm⁻³
polymorph energy (0 for the lowest one) = 0.0 kJ/mol of formula units

POSCAR file:
```
Sm2RhO
1.0
3.664 0.000 0.000
1.832 3.173 0.000
1.832 1.058 6.813
Rh O Sm
1 1 2
Direct
0.500 0.500 0.500
0.000 0.000 0.000
0.740 0.740 0.779
0.260 0.260 0.221
```

=====

6.
Compound: SrLi2Au
Source: the Alexandria database
Functional: PBE
Structure: relaxed

Values from the calculation:
M_tot = 0.0 μB per cell
theoretical density = 5.06 g cm⁻³
formation energy = -0.29 eV/atom
polymorph energy (0 for the lowest one) = 52.1 kJ/mol of formula units

POSCAR file:
```
SrLi2Au
1.0
5.195 0.039 0.000
0.081 5.195 0.000
-2.638 -2.617 3.631
Au Li Sr
1 2 1
Direct
0.750 0.250 0.500
0.000 0.000 0.000
0.250 0.750 0.500
0.500 0.500 0.000
```

=====

7.
Compound: Gd3Er
Source: the Alexandria database
Functional: PBE
Structure: relaxed

Values from the calculation:
M_tot = 7.9 μB per cell
theoretical density = 7.87 g cm⁻³
formation energy = 0.68 eV/atom
polymorph energy (0 for the lowest one) = 247.4 kJ/mol of formula units

POSCAR file:
```
Gd3Er
1.0
4.581 0.000 0.000
0.000 4.581 0.000
-2.290 -2.290 6.423
Gd Er
3 1
Direct
0.500 0.500 0.000
0.248 0.248 0.497
0.752 0.752 0.503
0.000 0.000 0.000
```

=====

8.
Compound: YMnPb2I
Source: the Alexandria database
Functional: PBE
Structure: relaxed

Values from the calculation:
M_tot = 4.7 μB per cell
ΔE_f (raw) = 909 meV per atom
theoretical density = 5.59 g cm⁻³

POSCAR file:
```
YMnPb2I
1.0
-0.527 5.106 3.178
-5.436 -1.769 1.940
2.379 -2.490 4.395
Pb I Mn Y
2 1 1 1
Direct
0.000 0.500 0.000
0.500 0.000 0.000
0.000 0.000 0.000
0.500 0.500 0.500
0.000 0.000 0.500
```

=====

9.
Compound: Y2WCl
Source: the Alexandria database
Functional: PBE
Structure: relaxed

Values from the calculation:
M_tot = 1.1 μB per cell
ΔE_f (raw) = 780 meV per atom
theoretical density = 7.22 g cm⁻³
polymorph energy (0 for the lowest one) = 447.5 kJ/mol of formula units

POSCAR file:
```
Y2WCl
1.0
5.054 0.000 0.000
2.527 4.377 0.000
2.527 1.459 4.126
Cl W Y
1 1 2
Direct
0.500 0.500 0.500
0.750 0.750 0.750
0.000 0.000 0.000
0.250 0.250 0.250
```

=====

10.
Compound: CsSnBi2Pb
Source: the Alexandria database
Functional: PBE
Structure: relaxed

Values from the calculation:
M_tot = 0.0 μB per cell
theoretical density = 7.08 g cm⁻³
formation energy = -0.18 eV/atom

POSCAR file:
```
CsSnBi2Pb
1.0
-4.931 0.623 2.405
-0.076 -5.380 1.237
5.537 3.687 4.057
Cs Sn Bi Pb
1 1 2 1
Direct
0.000 0.000 0.000
0.750 0.250 0.500
0.627 0.627 0.254
0.373 0.373 0.746
0.250 0.750 0.500
```

=====

11.
Compound: PaSiRhC
Source: the Alexandria database
Functional: PBE
Structure: relaxed

Values from the calculation:
M_tot = 0.0 μB per cell
ΔE_f (raw) = -708 meV per atom
theoretical density = 10.00 g cm⁻³

POSCAR file:
```
PaSiRhC
1.0
-2.042 1.943 -2.653
2.431 -1.212 -2.758
-4.745 -6.685 -1.245
Pa Si Rh C
2 2 2 2
Direct
0.000 0.500 0.839
0.500 0.000 0.161
0.000 0.500 0.339
0.500 0.000 0.661
0.000 0.000 0.500
0.500 0.500 0.500
0.500 0.000 0.886
0.000 0.500 0.114
```

=====

12.
Compound: ZrTiAs2
Source: the Alexandria database
Functional: PBE
Structure: relaxed

Values from the calculation:
M_tot = 0.0 μB per cell
theoretical density = 6.31 g cm⁻³
formation energy = -0.94 eV/atom
polymorph energy (0 for the lowest one) = 9.1 kJ/mol of formula units

POSCAR file:
```
ZrTiAs2
1.0
-2.686 1.631 -2.100
-3.537 -1.329 0.091
-3.389 3.913 3.971
Zr Ti As
1 1 2
Direct
0.500 0.500 0.500
0.000 0.000 0.000
0.256 0.256 0.233
0.744 0.744 0.767
```

=====

13.
Compound: Al2FeCuHg
Source: the Alexandria database
Functional: PBE
Structure: relaxed

Values from the calculation:
M_tot = 3.1 μB per cell
theoretical density = 6.19 g cm⁻³
formation energy = 0.72 eV/atom

POSCAR file:
```
Al2FeCuHg
1.0
-0.896 -3.920 -1.996
4.376 -1.792 1.554
-1.942 -1.475 3.769
Al Hg Cu Fe
2 1 1 1
Direct
0.000 0.000 0.500
0.500 0.000 0.000
0.000 0.500 0.000
0.000 0.000 0.000
0.500 0.500 0.500
```

=====

14.
Compound: K7Te2F2
Source: the Alexandria database
Functional: PBE
Structure: relaxed

Values from the calculation:
M_tot = 0.0 μB per cell
ΔE_f (raw) = -1323 meV per atom
theoretical density = 2.23 g cm⁻³

POSCAR file:
```
K7Te2F2
1.0
7.584 -0.002 -0.272
0.006 7.390 0.001
-0.744 -0.004 7.553
K Te F
7 2 2
Direct
0.000 0.240 0.500
0.500 0.760 0.000
0.000 0.760 0.500
0.500 0.240 0.000
0.000 0.000 0.000
0.500 0.778 0.500
0.500 0.222 0.500
0.775 0.500 0.775
0.225 0.500 0.225
0.692 0.000 0.308
0.308 0.000 0.692
```